First-principles (PBE) data for a relaxed PdBrCl2 crystal, as listed in Alexandria.

Density of states at the Fermi level in states/eV per cell: 4.7
E_tot in eV/atom: -2.507
V in Å³ per cell: 102
ΔE to the lowest computed polymorph in eV/atom: 0.423
Crystal system: trigonal
Raw formation energy in kJ per mole of atoms: 12.81

The structure in POSCAR format:
```
PdBrCl2
1.0
1.5474 0.8934 12.3397
-1.5474 0.8934 12.3397
0.0000 -1.7868 12.3397
Pd Br Cl
1 1 2
Direct
0.0000 0.0000 0.0000
0.5000 0.5000 0.5000
0.0602 0.0602 0.0602
0.9398 0.9398 0.9398
```